First-principles (PBE-GGA) data for Th4TeAs2Au after structural relaxation, as listed in Alexandria.

The structure in CIF format:
```
data_Th4TeAs2Au
_symmetry_space_group_name_H-M 'P 1 2/m 1'
_symmetry_Int_Tables_number 10
_cell_length_a 7.512
_cell_length_b 4.237
_cell_length_c 7.598
_cell_angle_alpha 90.00
_cell_angle_beta 108.60
_cell_angle_gamma 90.00
loop_
_symmetry_equiv_pos_as_xyz
'x,y,z'
'-x,-y,-z'
'-x,y,-z'
'x,-y,z'
loop_
_atom_site_label
_atom_site_type_symbol
_atom_site_fract_x
_atom_site_fract_y
_atom_site_fract_z
Th1 Th 0.235 0.000 0.228
Th2 Th 0.244 0.500 0.759
Te1 Te 0.500 0.500 0.500
As1 As 0.000 0.500 0.000
As2 As 0.500 0.000 0.000
Au1 Au 0.000 0.000 0.500
```

## Properties
calculated density = 10.162 g/cm3
formation energy without anion corrections = -1094 meV per atom
total magnetic moment = 0.00 μB per formula unit


First-principles (PBE-GGA) data for Tl2TeAsAu after structural relaxation, as listed in Alexandria.

The structure in CIF format:
```
data_Tl2TeAsAu
_symmetry_space_group_name_H-M 'P 4/m m m'
_symmetry_Int_Tables_number 123
_symmetry_space_group_name_Hall '-P 4 2'
_cell_length_a 6.417
_cell_length_b 6.417
_cell_length_c 5.166
_cell_angle_alpha 90.00
_cell_angle_beta 90.00
_cell_angle_gamma 90.00
loop_
_atom_site_label
_atom_site_type_symbol
_atom_site_fract_x
_atom_site_fract_y
_atom_site_fract_z
Tl1 Tl 0.000 0.500 0.000
Te1 Te 0.000 0.000 0.000
As1 As 0.500 0.500 0.500
Au1 Au 0.000 0.000 0.500
```

## Properties
calculated density = 6.309 g/cm3
formation energy without anion corrections = 563 meV per atom
total magnetic moment = 1.94 μB per formula unit


First-principles (PBE-GGA) data for Tl2Te4AsAu after structural relaxation, as listed in Alexandria.

The structure in CIF format:
```
data_Tl2Te4AsAu
_symmetry_space_group_name_H-M 'I -4 2 m'
_symmetry_Int_Tables_number 121
_symmetry_space_group_name_Hall 'I -4 2'
_cell_length_a 8.497
_cell_length_b 8.497
_cell_length_c 6.922
_cell_angle_alpha 90.00
_cell_angle_beta 90.00
_cell_angle_gamma 90.00
loop_
_atom_site_label
_atom_site_type_symbol
_atom_site_fract_x
_atom_site_fract_y
_atom_site_fract_z
Tl1 Tl 0.000 0.500 0.000
Te1 Te 0.178 0.178 0.237
As1 As 0.000 0.000 0.000
Au1 Au 0.000 0.000 0.500
```

## Properties
calculated density = 7.915 g/cm3
formation energy without anion corrections = -59 meV per atom
total magnetic moment = 0.00 μB per formula unit


First-principles (PBE-GGA) data for TlTe4As2Au after structural relaxation, as listed in Alexandria.

The structure in CIF format:
```
data_TlTe4As2Au
_symmetry_space_group_name_H-M 'I 2 2 2'
_symmetry_Int_Tables_number 23
_cell_length_a 6.552
_cell_length_b 7.505
_cell_length_c 11.351
_cell_angle_alpha 90.00
_cell_angle_beta 90.00
_cell_angle_gamma 90.00
loop_
_symmetry_equiv_pos_as_xyz
'x,y,z'
'-x,-y,z'
'x,-y,-z'
'-x,y,-z'
'x+1/2,y+1/2,z+1/2'
'-x+1/2,-y+1/2,z+1/2'
'x+1/2,-y+1/2,-z+1/2'
'-x+1/2,y+1/2,-z+1/2'
loop_
_atom_site_label
_atom_site_type_symbol
_atom_site_fract_x
_atom_site_fract_y
_atom_site_fract_z
Tl1 Tl 0.000 0.000 0.000
Te1 Te 0.247 0.306 0.146
As1 As 0.000 0.500 0.282
Au1 Au 0.000 0.000 0.500
```

## Properties
calculated density = 6.316 g/cm3
formation energy without anion corrections = 55 meV per atom
total magnetic moment = 0.00 μB per formula unit


First-principles (PBE-GGA) data for VTeAs2Au after structural relaxation, as listed in Alexandria.

The structure in CIF format:
```
data_VTeAs2Au
_symmetry_space_group_name_H-M 'P 4/m m m'
_symmetry_Int_Tables_number 123
_symmetry_space_group_name_Hall '-P 4 2'
_cell_length_a 4.954
_cell_length_b 4.954
_cell_length_c 5.450
_cell_angle_alpha 90.00
_cell_angle_beta 90.00
_cell_angle_gamma 90.00
loop_
_atom_site_label
_atom_site_type_symbol
_atom_site_fract_x
_atom_site_fract_y
_atom_site_fract_z
V1 V 0.000 0.000 0.000
Te1 Te 0.500 0.500 0.000
As1 As 0.000 0.500 0.500
Au1 Au 0.500 0.500 0.500
```

## Properties
calculated density = 6.523 g/cm3
formation energy without anion corrections = 1209 meV per atom
total magnetic moment = 0.22 μB per formula unit


First-principles (PBE-GGA) data for Y4Te2AsAu after structural relaxation, as listed in Alexandria.

The structure in CIF format:
```
data_Y4Te2AsAu
_symmetry_space_group_name_H-M 'P 1 2/m 1'
_symmetry_Int_Tables_number 10
_cell_length_a 7.452
_cell_length_b 4.188
_cell_length_c 7.474
_cell_angle_alpha 90.00
_cell_angle_beta 108.56
_cell_angle_gamma 90.00
loop_
_symmetry_equiv_pos_as_xyz
'x,y,z'
'-x,-y,-z'
'-x,y,-z'
'x,-y,z'
loop_
_atom_site_label
_atom_site_type_symbol
_atom_site_fract_x
_atom_site_fract_y
_atom_site_fract_z
Y1 Y 0.223 0.000 0.236
Y2 Y 0.225 0.500 0.745
Te1 Te 0.500 0.000 0.000
Te2 Te 0.500 0.500 0.500
As1 As 0.000 0.500 0.000
Au1 Au 0.000 0.000 0.500
```

## Properties
calculated density = 6.630 g/cm3
formation energy without anion corrections = -1267 meV per atom
total magnetic moment = 0.00 μB per formula unit


First-principles (PBE-GGA) data for Th4As3Au after structural relaxation, as listed in Alexandria.

The structure in CIF format:
```
data_Th4As3Au
_symmetry_space_group_name_H-M 'C m m m'
_symmetry_Int_Tables_number 65
_symmetry_space_group_name_Hall '-C 2 2'
_cell_length_a 8.636
_cell_length_b 12.138
_cell_length_c 4.210
_cell_angle_alpha 90.00
_cell_angle_beta 90.00
_cell_angle_gamma 90.00
loop_
_atom_site_label
_atom_site_type_symbol
_atom_site_fract_x
_atom_site_fract_y
_atom_site_fract_z
Th1 Th 0.000 0.247 0.000
Th2 Th 0.249 0.000 0.500
As1 As 0.000 0.000 0.000
As2 As 0.250 0.250 0.500
Au1 Au 0.000 0.500 0.000
```

## Properties
calculated density = 10.159 g/cm3
DFT formation energy = -1159.4 meV per atom
total magnetic moment = 0.00 μB per formula unit


First-principles (PBE-GGA) data for ThAsAu after structural relaxation, as listed in Alexandria.

The structure in CIF format:
```
data_ThAsAu
_symmetry_space_group_name_H-M 'I 4 m m'
_symmetry_Int_Tables_number 107
_symmetry_space_group_name_Hall 'I 4 -2'
_cell_length_a 3.950
_cell_length_b 3.950
_cell_length_c 9.163
_cell_angle_alpha 90.00
_cell_angle_beta 90.00
_cell_angle_gamma 90.00
loop_
_atom_site_label
_atom_site_type_symbol
_atom_site_fract_x
_atom_site_fract_y
_atom_site_fract_z
Th1 Th 0.000 0.000 0.000
As1 As 0.000 0.000 0.650
Au1 Au 0.000 0.000 0.329
```

## Properties
calculated density = 11.708 g/cm3
DFT formation energy = -752.3 meV per atom
total magnetic moment = 0.00 μB per formula unit


First-principles (PBE-GGA) data for Ti3AsAu after structural relaxation, as listed in Alexandria.

The structure in CIF format:
```
data_Ti3AsAu
_symmetry_space_group_name_H-M 'P m -3 m'
_symmetry_Int_Tables_number 221
_symmetry_space_group_name_Hall '-P 4 2 3'
_cell_length_a 4.879
_cell_length_b 4.879
_cell_length_c 4.879
_cell_angle_alpha 90.00
_cell_angle_beta 90.00
_cell_angle_gamma 90.00
loop_
_atom_site_label
_atom_site_type_symbol
_atom_site_fract_x
_atom_site_fract_y
_atom_site_fract_z
Ti1 Ti 0.000 0.000 0.500
As1 As 0.500 0.500 0.500
Au1 Au 0.000 0.000 0.000
```

## Properties
offset from the most stable computed form = 563 meV/atom
calculated density = 5.942 g/cm3
DFT formation energy = 622.3 meV per atom
total magnetic moment = 2.00 μB per formula unit


First-principles (PBE-GGA) data for Ti2AsAu after structural relaxation, as listed in Alexandria.

The structure in CIF format:
```
data_Ti2AsAu
_symmetry_space_group_name_H-M 'R 3 m'
_symmetry_Int_Tables_number 160
_symmetry_space_group_name_Hall 'R 3 -2"'
_cell_length_a 3.5515
_cell_length_b 3.5515
_cell_length_c 20.1456
_cell_angle_alpha 90.00
_cell_angle_beta 90.00
_cell_angle_gamma 120.00
loop_
_atom_site_label
_atom_site_type_symbol
_atom_site_fract_x
_atom_site_fract_y
_atom_site_fract_z
Ti1 Ti 0.0000 0.0000 0.0000
Ti2 Ti 0.0000 0.0000 0.1858
As1 As 0.0000 0.0000 0.5941
Au1 Au 0.0000 0.0000 0.4266
```

## Properties
calculated density = 8.325 g/cm3
DFT formation energy = -456.4 meV per atom
total magnetic moment = 0.00 μB per formula unit


no.,D(E_F) (states/eV/f.u.)
1,6.40
2,3.17
3,4.14
4,3.00
5,6.41
6,5.09
7,5.35
8,0.70
9,4.58
10,3.99